# 1
Compound: Nb3IrC
Source: the Alexandria database
Functional: PBEsol
Structure: relaxed

a b c (Å): 4.787 4.787 4.787
angles (deg): 90.00 90.00 90.00
Sites, in units of the cell vectors:
Nb (0.000, 0.500, 0.000)
Nb (0.000, 0.000, 0.500)
Nb (0.500, 0.000, 0.000)
Ir (0.000, 0.000, 0.000)
C (0.500, 0.500, 0.500)

Calculated values
Electronic total energy: -8.1025 eV/atom
Energy of formation from the pure elements: 2.2838 eV/atom
Calculated volume: 109.7 Å³ per cell

# 2
Compound: Nb3IrC
Source: the Alexandria database
Functional: PBEsol
Structure: relaxed

a b c (Å): 4.227 4.227 4.227
angles (deg): 90.00 90.00 90.00
Sites, in units of the cell vectors:
Nb (0.000, 0.500, 0.000)
Nb (0.000, 0.000, 0.500)
Nb (0.500, 0.000, 0.000)
Ir (0.500, 0.500, 0.500)
C (0.000, 0.000, 0.000)

Calculated values
Electronic total energy: -10.6512 eV/atom
Energy of formation from the pure elements: -0.2649 eV/atom
Calculated volume: 75.5 Å³ per cell

# 3
Compound: ScNbIrC2
Source: the Alexandria database
Functional: PBEsol
Structure: relaxed

a b c (Å): 3.991 3.991 5.042
angles (deg): 90.00 90.00 90.00
Sites, in units of the cell vectors:
Sc (0.000, 0.000, 0.000)
Nb (0.000, 0.000, 0.500)
Ir (0.500, 0.500, 0.500)
C (0.000, 0.500, 0.000)
C (0.500, 0.000, 0.000)

Calculated values
Electronic total energy: -6.7801 eV/atom
Energy of formation from the pure elements: 2.5274 eV/atom
Calculated volume: 80.3 Å³ per cell

# 4
Compound: Ni2IrWC
Source: the Alexandria database
Functional: PBEsol
Structure: relaxed

a b c (Å): 4.410 4.410 4.651
angles (deg): 90.00 90.00 90.00
Sites, in units of the cell vectors:
Ni (0.000, 0.500, 0.000)
Ni (0.500, 0.000, 0.000)
C (0.500, 0.500, 0.500)
Ir (0.000, 0.000, 0.500)
W (0.000, 0.000, 0.000)

Calculated values
Electronic total energy: -6.2002 eV/atom
Energy of formation from the pure elements: 2.9178 eV/atom
Calculated volume: 90.5 Å³ per cell

# 5
Compound: Ir2OsC
Source: the Alexandria database
Functional: PBEsol
Structure: relaxed

a b c (Å): 5.007 5.007 6.166
angles (deg): 113.96 113.96 90.00
Sites, in units of the cell vectors:
C (0.750, 0.250, 0.500)
C (0.500, 0.500, 0.000)
Ir (0.446, 0.875, 0.250)
Ir (0.804, 0.375, 0.250)
Ir (0.125, 0.196, 0.750)
Ir (0.625, 0.554, 0.750)
Os (0.250, 0.750, 0.500)
Os (0.000, 0.000, 0.000)

Calculated values
Electronic total energy: -9.3694 eV/atom
Energy of formation from the pure elements: 1.0072 eV/atom
Calculated volume: 126.5 Å³ per cell

# 6
Compound: PIr2C
Source: the Alexandria database
Functional: PBEsol
Structure: relaxed

a b c (Å): 4.032 4.032 4.032
angles (deg): 60.00 60.00 60.00
Sites, in units of the cell vectors:
P (0.500, 0.500, 0.500)
C (0.000, 0.000, 0.000)
Ir (0.250, 0.250, 0.250)
Ir (0.750, 0.750, 0.750)

Calculated values
Electronic total energy: -7.8550 eV/atom
Energy of formation from the pure elements: 0.9155 eV/atom
Calculated volume: 46.4 Å³ per cell